## HoTm2Ru (PBE-GGA)

Data for an optimized crystal structure of HoTm2Ru.

Output
- symmetry = Pnma
- offset from the most stable computed form (eV per atom) = 0.000

a b c (Å): 6.2379 7.2684 9.0102
angles (deg): 90.00 90.00 90.00
Sites, in units of the cell vectors:
Ho1 0.6292 0.5396 0.2500
Ho2 0.8708 0.0396 0.2500
Ho3 0.3708 0.4604 0.7500
Ho4 0.1292 0.9604 0.7500
Tm1 0.1670 0.6762 0.0634
Tm2 0.3330 0.1762 0.4366
Tm3 0.8330 0.3238 0.5634
Tm4 0.6670 0.8238 0.9366
Tm5 0.8330 0.3238 0.9366
Tm6 0.6670 0.8238 0.5634
Tm7 0.1670 0.6762 0.4366
Tm8 0.3330 0.1762 0.0634
Ru1 0.0398 0.3842 0.2500
Ru2 0.4602 0.8842 0.2500
Ru3 0.9602 0.6158 0.7500
Ru4 0.5398 0.1158 0.7500

---

## Ho2TmRu (PBE-GGA)

Data for an optimized crystal structure of Ho2TmRu.

Output
- symmetry = Cmcm
- offset from the most stable computed form (eV per atom) = 0.018

a b c (Å): 3.9055 6.1846 9.0057
angles (deg): 90.00 90.00 108.39
Sites, in units of the cell vectors:
Ho1 0.3577 0.7153 0.5663
Ho2 0.6423 0.2847 0.4337
Ho3 0.3577 0.7153 0.9337
Ho4 0.6423 0.2847 0.0663
Tm1 0.9243 0.8485 0.2500
Tm2 0.0757 0.1515 0.7500
Ru1 0.7416 0.4834 0.7500
Ru2 0.2584 0.5166 0.2500

---

## HoTm3Ru3 (PBE-GGA)

Data for an optimized crystal structure of HoTm3Ru3.

Output
- symmetry = R3m
- offset from the most stable computed form (eV per atom) = 0.000

a b c (Å): 5.7735 5.7596 5.7735
angles (deg): 109.42 109.52 109.42
Sites, in units of the cell vectors:
Ho1 0.0000 0.4173 0.0000
Tm1 0.4146 0.0034 0.0000
Tm2 0.5854 0.5888 0.5854
Tm3 0.0000 0.0034 0.4146
Ru1 0.5004 0.5041 0.0000
Ru2 0.4996 0.0037 0.4996
Ru3 0.0000 0.5041 0.5004

---

## HoTm3Ru8 (PBE-GGA)

Data for an optimized crystal structure of HoTm3Ru8.

Output
- symmetry = R3m

a b c (Å): 5.2963 5.2963 9.2191
angles (deg): 73.31 73.31 60.00
Sites, in units of the cell vectors:
Ho1 0.8750 0.8750 0.3750
Tm1 0.3751 0.3751 0.8748
Tm2 0.0000 0.0000 0.0000
Tm3 0.4998 0.4998 0.5006
Ru1 0.9381 0.4376 0.1866
Ru2 0.4364 0.9376 0.6884
Ru3 0.4376 0.4376 0.1866
Ru4 0.9376 0.9376 0.6884
Ru5 0.1875 0.1875 0.4374
Ru6 0.6876 0.6876 0.9372
Ru7 0.4376 0.9381 0.1866
Ru8 0.9376 0.4364 0.6884

---

## Ho4TmRu2 (PBE-GGA)

Data for an optimized crystal structure of Ho4TmRu2.

Output
- symmetry = P2_1/m

a b c (Å): 6.2758 7.8389 7.7447
angles (deg): 112.51 90.00 90.00
Sites, in units of the cell vectors:
Ho1 0.5014 0.4148 0.7588
Ho2 0.2500 0.2460 0.3247
Ho3 0.7500 0.7540 0.6753
Ho4 0.9986 0.4148 0.7588
Ho5 0.7500 0.0211 0.3780
Ho6 0.0014 0.5852 0.2412
Ho7 0.4986 0.5852 0.2412
Ho8 0.2500 0.9789 0.6220
Tm1 0.2500 0.8362 0.9726
Tm2 0.7500 0.1638 0.0274
Ru1 0.2500 0.2543 0.9775
Ru2 0.7500 0.7457 0.0225
Ru3 0.7500 0.3761 0.4136
Ru4 0.2500 0.6239 0.5864

---

## Ho3TmRu3 (PBE-GGA)

Data for an optimized crystal structure of Ho3TmRu3.

Output
- symmetry = C2/m
- offset from the most stable computed form (eV per atom) = 0.023

a b c (Å): 6.7762 6.7762 6.6976
angles (deg): 90.07 90.07 89.54
Sites, in units of the cell vectors:
Ho1 0.7539 0.7539 0.4994
Ho2 0.2457 0.7543 0.5000
Ho3 0.7543 0.2457 0.5000
Ho4 0.2496 0.7504 0.0000
Ho5 0.7504 0.2496 0.0000
Ho6 0.2461 0.2461 0.5006
Tm1 0.7589 0.7589 0.9994
Tm2 0.2411 0.2411 0.0006
Ru1 0.0000 0.0000 0.2492
Ru2 0.9999 0.5000 0.7510
Ru3 0.5000 0.9999 0.7510
Ru4 0.0001 0.5000 0.2490
Ru5 0.5000 0.0001 0.2490
Ru6 0.0000 0.0000 0.7508

---

## HoTmRu4 (PBE-GGA)

Data for an optimized crystal structure of HoTmRu4.

Output
- symmetry = F-43m

a b c (Å): 5.3111 5.3111 5.3111
angles (deg): 60.00 60.00 60.00
Sites, in units of the cell vectors:
Ru1 0.6251 0.6251 0.1248
Ru2 0.6251 0.1248 0.6251
Ru3 0.6251 0.6251 0.6251
Ru4 0.1248 0.6251 0.6251
Tm1 0.0000 0.0000 0.0000
Ho1 0.2500 0.2500 0.2500

---

## Ho2TmRu (PBE-GGA)

Data for an optimized crystal structure of Ho2TmRu.

Output
- symmetry = P4/mmm
- offset from the most stable computed form (eV per atom) = 0.142

a b c (Å): 3.4161 3.4161 8.7653
angles (deg): 90.00 90.00 90.00
Sites, in units of the cell vectors:
Ru1 0.5000 0.5000 0.0000
Tm1 0.5000 0.5000 0.5000
Ho1 0.0000 0.0000 0.8127
Ho2 0.0000 0.0000 0.1873

---

## Ho5TmRu3 (PBE-GGA)

Data for an optimized crystal structure of Ho5TmRu3.

Output
- symmetry = C2/m

a b c (Å): 7.5722 7.5722 9.8584
angles (deg): 72.05 72.05 72.79
Sites, in units of the cell vectors:
Ho1 0.9694 0.3673 0.3356
Ho2 0.3002 0.6998 0.0000
Ho3 0.7669 0.7669 0.0347
Ho4 0.4366 0.4366 0.3653
Ho5 0.5634 0.5634 0.6347
Ho6 0.2331 0.2331 0.9653
Ho7 0.3673 0.9694 0.3356
Ho8 0.6998 0.3002 0.0000
Ho9 0.0306 0.6327 0.6644
Ho10 0.6327 0.0306 0.6644
Tm1 0.0979 0.0979 0.7018
Tm2 0.9021 0.9021 0.2982
Ru1 0.6660 0.6660 0.8338
Ru2 0.6694 0.6694 0.3353
Ru3 0.0000 0.0000 0.0000
Ru4 0.0000 0.0000 0.5000
Ru5 0.3340 0.3340 0.1662
Ru6 0.3306 0.3306 0.6647

---

## HoTm3Ru3 (PBE-GGA)

Data for an optimized crystal structure of HoTm3Ru3.

Output
- symmetry = C2/m
- offset from the most stable computed form (eV per atom) = 0.022

a b c (Å): 6.7486 6.7486 6.6714
angles (deg): 90.07 90.07 90.49
Sites, in units of the cell vectors:
Ho1 0.7499 0.7499 0.9992
Ho2 0.2501 0.2501 0.0008
Tm1 0.7552 0.7552 0.4993
Tm2 0.2452 0.7548 0.5000
Tm3 0.7548 0.2452 0.5000
Tm4 0.2412 0.7588 0.0000
Tm5 0.7588 0.2412 0.0000
Tm6 0.2448 0.2448 0.5007
Ru1 0.0000 0.0000 0.2509
Ru2 0.0000 0.5000 0.7490
Ru3 0.5000 0.0000 0.7490
Ru4 0.0000 0.5000 0.2510
Ru5 0.5000 0.0000 0.2510
Ru6 0.0000 0.0000 0.7491

---

## Ho5Tm2Ru4 (PBE-GGA)

Data for an optimized crystal structure of Ho5Tm2Ru4.

Output
- symmetry = C2/m

a b c (Å): 3.3082 7.2346 13.7321
angles (deg): 125.33 96.92 90.00
Sites, in units of the cell vectors:
Ho1 0.1847 0.8321 0.3695
Ho2 0.8153 0.1679 0.6305
Ho3 0.1578 0.3255 0.3155
Ho4 0.5000 0.0000 0.0000
Ho5 0.8422 0.6745 0.6845
Tm1 0.0535 0.7500 0.1070
Tm2 0.9465 0.2500 0.8930
Ru1 0.2572 0.3092 0.5144
Ru2 0.9380 0.5977 0.8760
Ru3 0.7428 0.6908 0.4856
Ru4 0.0620 0.4023 0.1240

---

## Ho2TmRu3 (PBE-GGA)

Data for an optimized crystal structure of Ho2TmRu3.

Output
- symmetry = Cmmm
- offset from the most stable computed form (eV per atom) = 0.003

a b c (Å): 3.3843 4.7624 7.5373
angles (deg): 108.42 90.00 90.00
Sites, in units of the cell vectors:
Ho1 0.0000 0.3338 0.6677
Ho2 0.0000 0.6662 0.3323
Tm1 0.0000 0.0000 0.0000
Ru1 0.5000 0.5000 0.0000
Ru2 0.5000 0.8343 0.6685
Ru3 0.5000 0.1657 0.3315

---

ΔE_f for every record listed, in sequence, given in eV/atom: -0.36, -0.33, -0.43, -0.34, -0.27, -0.38, -0.33, -0.21, -0.23, -0.41, 0.02, -0.37.
Final energy for every record listed, in sequence, given in eV/atom: -6.063, -6.058, -6.977, -8.021, -6.174, -6.957, -8.026, -5.935, -6.360, -6.954, -6.242, -7.283.